# PBE-GGA KCu2AgSe, relaxed
# calculated total energy	-1.786	eV/atom
# formation energy without anion corrections	1.339	eV per atom
data_KCu2AgSe
_chemical_formula_sum 'K1 Cu2 Ag1 Se1'
_space_group_name_H-M_alt 'P 4/m m m'
_space_group_IT_number 123
_space_group_name_Hall '-P 4 2'
_cell_length_a 5.023
_cell_length_b 5.023
_cell_length_c 5.670
_cell_angle_alpha 90.00
_cell_angle_beta 90.00
_cell_angle_gamma 90.00
loop_
_atom_site_label
_atom_site_fract_x
_atom_site_fract_y
_atom_site_fract_z
_atom_site_occupancy
K1 0.000 0.000 0.000 1
Cu1 0.000 0.500 0.000 1
Ag1 0.500 0.500 0.500 1
Se1 0.000 0.000 0.500 1